Record 1
# EuMgAgPt

EuMgAgPt after structural relaxation (PBE, Alexandria).

a = 7.0055 Å, b = 7.0055 Å, c = 7.0055 Å
α = 90.00°, β = 90.00°, γ = 90.00°
Closest atoms and distances in Å follow each position.
Space group F-43m (No. 216)
Unique sites:
1 Eu 0.0000 0.0000 0.0000 (multiplicity 4)  4 Pt 3.03, 4 Ag 3.03
2 Mg 0.0000 0.0000 0.5000 (multiplicity 4)  4 Ag 3.03, 4 Pt 3.03
3 Ag 0.2500 0.2500 0.2500 (multiplicity 4)  4 Mg 3.03, 4 Eu 3.03
4 Pt 0.2500 0.2500 0.7500 (multiplicity 4)  4 Mg 3.03, 4 Eu 3.03

Output
**Total magnetization**: 1.73 μB/atom
**DFT formation energy**: -194 kJ/mol of formula units

=====

Record 2
# Tm3Bi2Pb

Tm3Bi2Pb after structural relaxation (PBE, Alexandria).

a = 7.7836 Å, b = 13.3327 Å, c = 7.5106 Å
α = 90.00°, β = 109.66°, γ = 90.00°
Closest atoms and distances in Å follow each position.
Space group C2/c (No. 15)
Unique sites:
1 Tm 0.2486 0.0831 0.4971 (multiplicity 8)  4 Bi 3.12-3.14, 2 Pb 3.12-3.13
2 Tm 0.2500 0.2500 0.0000 (multiplicity 4)  2 Pb 3.12, 4 Bi 3.13
3 Bi 0.0000 0.2514 0.2500 (multiplicity 4)  6 Tm 3.13
4 Bi 0.0000 0.4169 0.7500 (multiplicity 4)  6 Tm 3.12-3.14
5 Pb 0.0000 0.0841 0.7500 (multiplicity 4)  6 Tm 3.12-3.13

Output
**Total magnetization**: 0.00 μB/atom
**DFT formation energy**: -351 kJ/mol of formula units

=====

Record 3
# FeCoOs2

FeCoOs2 after structural relaxation (PBE, Alexandria).

a = 8.7457 Å, b = 2.6569 Å, c = 4.4753 Å
α = 90.00°, β = 100.51°, γ = 90.00°
Closest atoms and distances in Å follow each position.
Space group Cm (No. 8)
Unique sites:
1 Fe 0.0000 0.0000 0.0000 (multiplicity 2)  7 Os 2.56-2.66, 3 Co 2.57-2.60, 2 Fe 2.66
2 Co 0.2541 0.0000 0.7753 (multiplicity 2)  7 Os 2.57-2.67, 3 Fe 2.57-2.60, 2 Co 2.66
3 Os 0.0046 0.5000 0.5126 (multiplicity 2)  4 Fe 2.56-2.64, 5 Os 2.60-2.66, 3 Co 2.64-2.67
4 Os 0.2519 0.5000 0.2658 (multiplicity 2)  4 Co 2.57-2.64, 5 Os 2.60-2.66, 3 Fe 2.66

Output
**ΔE to the lowest computed polymorph**: 0.026 eV per atom
**Total magnetization**: 0.72 μB/atom
**DFT formation energy**: 52 kJ/mol of formula units

=====

Record 4
# Nd8Ge3PtBr4

Nd8Ge3PtBr4 after structural relaxation (PBE, Alexandria).

a = 8.6404 Å, b = 8.6404 Å, c = 21.6599 Å
α = 90.00°, β = 90.00°, γ = 120.00°
Closest atoms and distances in Å follow each position.
Space group R-3m (No. 166, hexagonal axes)
Unique sites:
1 Nd 0.0000 0.0000 0.2394 (multiplicity 6)  3 Ge 2.95, 3 Br 3.22
2 Nd 0.0058 0.5029 0.2376 (multiplicity 18)  1 Pt 2.89, 2 Ge 2.95, 2 Br 3.23
3 Ge 0.0000 0.5000 0.5000 (multiplicity 9)  6 Nd 2.95
4 Pt 0.0000 0.0000 0.5000 (multiplicity 3)  6 Nd 2.89
5 Br 0.0000 0.0000 0.0000 (multiplicity 3)  6 Nd 3.28
6 Br 0.0000 0.5000 0.0000 (multiplicity 9)  6 Nd 3.22-3.23

Output
**Energy**: -5.193 eV/atom
**Total magnetization**: 0.00 μB/atom

=====

Record 5
# Nd7PI12

Nd7PI12 after structural relaxation (PBE, Alexandria).

a = 16.0861 Å, b = 16.0861 Å, c = 10.7328 Å
α = 90.00°, β = 90.00°, γ = 120.00°
Closest atoms and distances in Å follow each position.
Space group R-3 (No. 148, hexagonal axes)
Unique sites:
1 Nd 0.0000 0.0000 0.0000 (multiplicity 3)  6 I 3.16
2 Nd 0.0445 0.8851 0.3544 (multiplicity 18)  1 P 2.77
3 P 0.0000 0.0000 0.5000 (multiplicity 3)  6 Nd 2.77
4 I 0.0219 0.4354 0.1647 (multiplicity 18)  3 Nd 3.17-3.44
5 I 0.0512 0.8681 0.8364 (multiplicity 18)  3 Nd 3.16-3.22

Output
**Energy**: -4.267 eV/atom
**Total magnetization**: 0.00 μB/atom

=====

Record 6
# TaMo2As

TaMo2As after structural relaxation (PBE, Alexandria).

a = 3.3127 Å, b = 4.7866 Å, c = 8.3543 Å
α = 90.00°, β = 90.00°, γ = 90.00°
Closest atoms and distances in Å follow each position.
Space group Cmmm (No. 65)
Unique sites:
1 Ta 0.0000 0.0000 0.0000 (multiplicity 2)  4 Mo 2.74, 4 Ta 2.91
2 Mo 0.0000 0.5000 0.2609 (multiplicity 4)  2 As 2.59, 2 Ta 2.74
3 As 0.0000 0.0000 0.5000 (multiplicity 2)  4 Mo 2.59

Output
**Total magnetization**: 0.00 μB/atom
**DFT formation energy**: 23 kJ/mol of formula units